Record 1
# SrAg2W2 | the Alexandria database | GGA-PBE | optimized geometry
# Excess energy over the best structure of this formula in the dataset, eV per atom: 0.230
data_SrAg2W2
_cell_length_a 4.8223
_cell_length_b 4.8223
_cell_length_c 10.1772
_cell_angle_alpha 90.00
_cell_angle_beta 90.00
_cell_angle_gamma 90.00
_symmetry_space_group_name_H-M 'I 4/m m m'
_symmetry_Int_Tables_number 139
_symmetry_space_group_name_Hall '-I 4 2'
loop_
_atom_site_label
_atom_site_type_symbol
_atom_site_fract_x
_atom_site_fract_y
_atom_site_fract_z
_atom_site_occupancy
Sr1 Sr 0.0000 0.0000 0.0000 1
Ag1 Ag 0.0000 0.5000 0.2500 1
W1 W 0.0000 0.0000 0.3900 1



Record 2
# HfFeRh3 | the Alexandria database | GGA-PBE | optimized geometry
# Excess energy over the best structure of this formula in the dataset, eV per atom: 0.000
data_HfFeRh3
_cell_length_a 4.4528
_cell_length_b 4.4528
_cell_length_c 4.4528
_cell_angle_alpha 90.00
_cell_angle_beta 90.00
_cell_angle_gamma 90.00
_symmetry_space_group_name_H-M 'P m -3 m'
_symmetry_Int_Tables_number 221
_symmetry_space_group_name_Hall '-P 4 2 3'
loop_
_atom_site_label
_atom_site_type_symbol
_atom_site_fract_x
_atom_site_fract_y
_atom_site_fract_z
_atom_site_occupancy
Hf1 Hf 0.0000 0.0000 0.0000 1
Fe1 Fe 0.5000 0.5000 0.5000 1
Rh1 Rh 0.0000 0.5000 0.5000 1



Record 3
# LiLa2MgFe | the Alexandria database | GGA-PBE | optimized geometry
# Excess energy over the best structure of this formula in the dataset, eV per atom: 0.076
data_LiLa2MgFe
_cell_length_a 5.0845
_cell_length_b 5.0845
_cell_length_c 5.2637
_cell_angle_alpha 90.00
_cell_angle_beta 90.00
_cell_angle_gamma 90.00
_symmetry_space_group_name_H-M 'P 4/m m m'
_symmetry_Int_Tables_number 123
_symmetry_space_group_name_Hall '-P 4 2'
loop_
_atom_site_label
_atom_site_type_symbol
_atom_site_fract_x
_atom_site_fract_y
_atom_site_fract_z
_atom_site_occupancy
Li1 Li 0.0000 0.0000 0.0000 1
La1 La 0.0000 0.5000 0.5000 1
Mg1 Mg 0.5000 0.5000 0.0000 1
Fe1 Fe 0.0000 0.0000 0.5000 1



Record 4
# SrLa3Ti | the Alexandria database | GGA-PBE | optimized geometry
# Excess energy over the best structure of this formula in the dataset, eV per atom: 0.986
data_SrLa3Ti
_cell_length_a 5.8528
_cell_length_b 5.8528
_cell_length_c 5.8528
_cell_angle_alpha 90.00
_cell_angle_beta 90.00
_cell_angle_gamma 90.00
_symmetry_space_group_name_H-M 'P m -3 m'
_symmetry_Int_Tables_number 221
_symmetry_space_group_name_Hall '-P 4 2 3'
loop_
_atom_site_label
_atom_site_type_symbol
_atom_site_fract_x
_atom_site_fract_y
_atom_site_fract_z
_atom_site_occupancy
Sr1 Sr 0.0000 0.0000 0.0000 1
La1 La 0.0000 0.0000 0.5000 1
Ti1 Ti 0.5000 0.5000 0.5000 1



Record 5
A geometry-optimized La2NdPuS4 structure. Source: the Alexandria database, functional GGA-PBE.

```
data_La2NdPuS4
_cell_length_a 7.0788
_cell_length_b 4.0725
_cell_length_c 7.0993
_cell_angle_alpha 90.00
_cell_angle_beta 109.28
_cell_angle_gamma 90.00
_symmetry_space_group_name_H-M 'P 1 2/m 1'
_symmetry_Int_Tables_number 10
_symmetry_space_group_name_Hall '-P 2y'
loop_
_atom_site_label
_atom_site_type_symbol
_atom_site_fract_x
_atom_site_fract_y
_atom_site_fract_z
_atom_site_occupancy
La1 La 0.0000 0.0000 0.0000 1
La2 La 0.5000 0.5000 0.0000 1
Nd1 Nd 0.0000 0.5000 0.5000 1
Pu1 Pu 0.5000 0.0000 0.5000 1
S1 S 0.2515 0.0000 0.7417 1
S2 S 0.2585 0.5000 0.2619 1
```



Record 6
A geometry-optimized Li2ThAgSe4 structure. Source: the Alexandria database, functional GGA-PBE.

```
data_Li2ThAgSe4
_cell_length_a 7.1368
_cell_length_b 7.1368
_cell_length_c 6.9053
_cell_angle_alpha 90.00
_cell_angle_beta 90.00
_cell_angle_gamma 90.00
_symmetry_space_group_name_H-M 'I -4 2 m'
_symmetry_Int_Tables_number 121
_symmetry_space_group_name_Hall 'I -4 2'
loop_
_atom_site_label
_atom_site_type_symbol
_atom_site_fract_x
_atom_site_fract_y
_atom_site_fract_z
_atom_site_occupancy
Li1 Li 0.0000 0.5000 0.2500 1
Th1 Th 0.0000 0.0000 0.0000 1
Ag1 Ag 0.0000 0.0000 0.5000 1
Se1 Se 0.2295 0.2295 0.6803 1
```



Record 7
# TiTlH | the Alexandria database | GGA-PBE | optimized geometry
# Excess energy over the best structure of this formula in the dataset, eV per atom: 0.120
data_TiTlH
_cell_length_a 3.0995
_cell_length_b 5.2392
_cell_length_c 5.7208
_cell_angle_alpha 80.91
_cell_angle_beta 74.34
_cell_angle_gamma 89.99
_symmetry_space_group_name_H-M 'P -1'
_symmetry_Int_Tables_number 2
_symmetry_space_group_name_Hall '-P 1'
loop_
_atom_site_label
_atom_site_type_symbol
_atom_site_fract_x
_atom_site_fract_y
_atom_site_fract_z
_atom_site_occupancy
Ti1 Ti 0.1335 0.3793 0.2355 1
Tl1 Tl 0.3897 0.1414 0.7204 1
H1 H 0.2748 0.6296 0.9492 1



Record 8
# RbAg2F6 | the Alexandria database | GGA-PBE | optimized geometry
# Excess energy over the best structure of this formula in the dataset, eV per atom: 0.069
data_RbAg2F6
_cell_length_a 6.0415
_cell_length_b 6.0415
_cell_length_c 5.4952
_cell_angle_alpha 90.00
_cell_angle_beta 90.00
_cell_angle_gamma 120.00
_symmetry_space_group_name_H-M 'P -3 1 m'
_symmetry_Int_Tables_number 162
_symmetry_space_group_name_Hall '-P 3 2'
loop_
_atom_site_label
_atom_site_type_symbol
_atom_site_fract_x
_atom_site_fract_y
_atom_site_fract_z
_atom_site_occupancy
Rb1 Rb 0.0000 0.0000 0.0000 1
Ag1 Ag 0.3333 0.6667 0.5000 1
F1 F 0.0000 0.3787 0.6941 1



Across the entries above, total DFT energy (no corrections) takes the values -56.73, -38.43, -21.17, -17.80, -61.75, -71.93, -27.51, -31.00 eV per cell, respectively.
Across the entries above, ρ takes the values 9.4, 10.2, 4.5, 4.6, 6.8, 6.3, 9.5, 4.0 g cm⁻³, respectively.